## ZnReW2Br (PBE-GGA)

Data for an optimized crystal structure of ZnReW2Br.

Uncorrected formation energy = 213.90 kJ/mol of atoms
SG = P4/mmm, No. 123
Size of the total moment = 0.00 Bohr magnetons per cell

Cell lengths 4.5853, 4.5853, 4.5636 Å; angles 90.00, 90.00, 90.00 degrees
Closest atoms and distances in Å follow each position.
Element x y z (fractional)
Zn 0.0000 0.0000 0.0000  8 W 3.23, 4 Re 3.24
Re 0.5000 0.5000 0.0000  2 Br 2.28
W 0.0000 0.5000 0.5000  2 Br 2.29
W 0.5000 0.0000 0.5000  2 Br 2.29
Br 0.5000 0.5000 0.5000  2 Re 2.28, 4 W 2.29

---

## TlFeAs2 (PBE-GGA)

Data for an optimized crystal structure of TlFeAs2.

Polymorph energy (0 for the lowest one) = 37 kJ/mol of formula units
ΔE_f = 13 kJ/mol of atoms
SG = P2/m, No. 10
Size of the total moment = 1.11 Bohr magnetons per cell

Cell lengths 4.8151, 3.8739, 5.1241 Å; angles 90.00, 116.51, 90.00 degrees
Closest atoms and distances in Å follow each position.
Element x y z (fractional)
Tl 0.0000 0.0000 0.0000  2 Fe 2.62
Fe 0.5000 0.0000 0.5000  4 As 2.37, 2 Tl 2.62
As 0.3087 0.5000 0.6306  2 Fe 2.37
As 0.6913 0.5000 0.3694  2 Fe 2.37

---

## BeAlSbPt2 (PBE-GGA)

Data for an optimized crystal structure of BeAlSbPt2.

Uncorrected formation energy = 16.06 kJ/mol of atoms
SG = P4/mmm, No. 123
Size of the total moment = 0.00 Bohr magnetons per cell

Cell lengths 4.3516, 4.3516, 4.6796 Å; angles 90.00, 90.00, 90.00 degrees
Closest atoms and distances in Å follow each position.
Element x y z (fractional)
Be 0.0000 0.0000 0.0000  4 Pt 2.18, 2 Sb 2.34
Al 0.5000 0.5000 0.5000  4 Sb 3.08, 8 Pt 3.20
Sb 0.0000 0.0000 0.5000  2 Be 2.34
Pt 0.0000 0.5000 0.0000  2 Be 2.18
Pt 0.5000 0.0000 0.0000  2 Be 2.18

---

## YIrW2 (PBE-GGA)

Data for an optimized crystal structure of YIrW2.

Polymorph energy (0 for the lowest one) = 138 kJ/mol of formula units
ΔE_f = 42 kJ/mol of atoms
SG = Cmmm, No. 65
Size of the total moment = 0.00 Bohr magnetons per cell

Cell lengths 5.4116, 5.4116, 2.8360 Å; angles 90.00, 90.00, 120.34 degrees
Closest atoms and distances in Å follow each position.
Element x y z (fractional)
Y 0.0000 0.0000 0.0000  2 Ir 2.69, 2 Y 2.84
Ir 0.5000 0.5000 0.0000  2 Y 2.69, 2 Ir 2.84
W 0.0000 0.5000 0.5000  4 W 2.69-2.84
W 0.5000 0.0000 0.5000  4 W 2.69-2.84

---

## CaInSe2 (PBE-GGA)

Data for an optimized crystal structure of CaInSe2.

Uncorrected formation energy = -100.74 kJ/mol of atoms
SG = Imm2, No. 44
Size of the total moment = 0.00 Bohr magnetons per cell

Cell lengths 7.4322, 7.4322, 7.4322 Å; angles 149.64, 149.38, 43.66 degrees
Closest atoms and distances in Å follow each position.
Element x y z (fractional)
Ca 0.0000 0.0000 0.0000  6 Se 2.97-3.08
In 0.2490 0.7490 0.5000  6 Se 2.96-3.07
Se 0.4213 0.4213 0.0000  4 Ca 2.97, 2 In 3.07
Se 0.6720 0.1720 0.5000  4 In 2.96, 2 Ca 3.08

---

## ZrTiAs (PBE-GGA)

Data for an optimized crystal structure of ZrTiAs.

ΔE_f = -77 kJ/mol of atoms
SG = C2/m, No. 12
Size of the total moment = 0.00 Bohr magnetons per cell

Cell lengths 9.7135, 9.7135, 6.7646 Å; angles 100.43, 100.43, 21.23 degrees
Closest atoms and distances in Å follow each position.
Element x y z (fractional)
Zr 0.0349 0.0349 0.2638  3 As 2.64-2.93
Zr 0.3984 0.3984 0.0398  4 As 2.77-2.79
Zr 0.6016 0.6016 0.9602  4 As 2.77-2.79
Zr 0.9651 0.9651 0.7362  3 As 2.64-2.93
Ti 0.2255 0.2255 0.8495  4 As 2.56-2.75, 2 Ti 2.74
Ti 0.3166 0.3166 0.4925  5 As 2.65-2.83, 2 Ti 2.92
Ti 0.6834 0.6834 0.5075  5 As 2.65-2.83, 2 Ti 2.92
Ti 0.7745 0.7745 0.1505  4 As 2.56-2.75, 2 Ti 2.74
As 0.0984 0.0984 0.6457  3 Ti 2.56-2.70, 4 Zr 2.64-2.77
As 0.1849 0.1849 0.2191  6 Ti 2.58-2.83, 2 Zr 2.79
As 0.8151 0.8151 0.7809  6 Ti 2.58-2.83, 2 Zr 2.79
As 0.9016 0.9016 0.3543  3 Ti 2.56-2.70, 4 Zr 2.64-2.77